(1)
# Gd2BiIBr

A relaxed structure of Gd2BiIBr (PBE, OQMD).

Computed properties:
- volume (Å³/cell) = 184.06
- raw total energy (eV/atom) = -4.57
- calculated density (g cm⁻³) = 6.589
- crystal system = trigonal

The structure in extended XYZ format:
```
5
Lattice="4.361 0.000 0.000 -2.180 3.777 0.000 0.000 0.000 11.176" Properties=species:S:1:pos:R:3 pbc="T T T"
I 2.180 1.259 7.504
Gd 2.180 1.259 1.837
Gd 0.000 2.518 9.444
Bi 0.000 0.000 0.055
Br 0.000 2.518 3.512
```

---

(2)
# GdBiBr2O2

A relaxed structure of GdBiBr2O2 (PBE, OQMD).

Computed properties:
- volume (Å³/cell) = 126.73
- raw total energy (eV/atom) = -5.67
- calculated density (g cm⁻³) = 7.312
- crystal system = tetragonal

The structure in extended XYZ format:
```
6
Lattice="3.892 0.000 0.000 0.000 3.892 0.000 0.000 0.000 8.367" Properties=species:S:1:pos:R:3 pbc="T T T"
Br 0.000 0.000 2.878
Br 1.946 1.946 5.576
O 1.946 0.000 8.323
O 0.000 1.946 8.323
Bi 1.946 1.946 1.222
Gd 0.000 0.000 7.146
```

---

(3)
# HoBiBr6

A relaxed structure of HoBiBr6 (PBE, OQMD).

Computed properties:
- volume (Å³/cell) = 298.86
- raw total energy (eV/atom) = -3.64
- calculated density (g cm⁻³) = 4.741
- crystal system = monoclinic

The structure in extended XYZ format:
```
8
Lattice="0.661 3.603 6.216 -5.826 -4.078 -1.219 4.862 -5.055 0.980" Properties=species:S:1:pos:R:3 pbc="T T T"
Br -0.314 -4.220 4.534
Br 3.557 -2.559 3.304
Br -1.538 -0.221 5.335
Br -0.051 -1.383 1.373
Br 1.340 -5.267 0.611
Br -3.903 -2.938 2.778
Bi -4.747 -2.801 0.018
Ho -0.419 2.325 4.979
```

---

(4)
# HoBiSbBrO4

A relaxed structure of HoBiSbBrO4 (PBE, OQMD).

Computed properties:
- volume (Å³/cell) = 131.24
- raw total energy (eV/atom) = -6.27
- calculated density (g cm⁻³) = 8.092
- crystal system = tetragonal

The structure in extended XYZ format:
```
8
Lattice="-0.549 0.853 3.690 -3.775 0.176 -0.602 -0.712 -8.727 1.913" Properties=species:S:1:pos:R:3 pbc="T T T"
Ho -0.709 -8.691 1.905
Br -0.358 -4.396 0.963
Bi -2.673 -5.751 2.917
O -0.879 -6.990 3.470
O -0.386 -0.945 2.146
O -2.492 -7.328 1.324
O -1.999 -1.284 0.000
Sb -2.353 -1.830 2.058
```

---

(5)
# Pr2BiIBr

A relaxed structure of Pr2BiIBr (PBE, OQMD).

Computed properties:
- volume (Å³/cell) = 194.35
- raw total energy (eV/atom) = -4.68
- calculated density (g cm⁻³) = 5.960
- crystal system = trigonal

The structure in extended XYZ format:
```
5
Lattice="-2.090 -3.741 1.362 2.565 2.317 2.876 -8.820 6.024 3.012" Properties=species:S:1:pos:R:3 pbc="T T T"
Br -2.870 1.960 0.980
Pr -7.399 5.053 2.526
Pr -2.050 -0.689 2.383
Bi 0.965 0.331 2.388
I -6.351 2.248 3.852
```

---

(6)
# NdBiBr2O2

A relaxed structure of NdBiBr2O2 (PBE, OQMD).

Computed properties:
- volume (Å³/cell) = 129.09
- raw total energy (eV/atom) = -5.66
- calculated density (g cm⁻³) = 7.011
- crystal system = tetragonal

The structure in extended XYZ format:
```
6
Lattice="3.941 0.000 0.000 0.000 3.941 0.000 0.000 0.000 8.310" Properties=species:S:1:pos:R:3 pbc="T T T"
Nd 1.971 1.971 1.269
O 1.971 0.000 0.007
O 0.000 1.971 0.007
Br 1.971 1.971 5.439
Br 0.000 0.000 2.819
Bi 0.000 0.000 7.078
```

---

Look up the volume of the sixth one.
129.09 Å³/cell

---

Among the records above, which one has the highest volume?
HoBiBr6